Entry 1:
Compound: BeIrW2F
Source: the Alexandria database
Functional: PBE with a Hubbard U
Structure: optimized geometry

Lattice parameters (Å, degrees): 5.1037 5.1037 4.0574 90.00 90.00 90.00
With the nearest neighbours (Å) after each atom.
Space group P4/mmm (No. 123)
One atom of each set of equivalent atoms:
Be1 0.0000 0.0000 0.0000 (multiplicity 1)  8 W 3.26, 4 F 3.61
Ir1 0.5000 0.5000 0.5000 (multiplicity 1)  2 F 2.03
W1 0.0000 0.5000 0.5000 (multiplicity 2)  2 Ir 2.55
F1 0.5000 0.5000 0.0000 (multiplicity 1)  2 Ir 2.03

Density = 9.2 g/cm³
Total DFT energy (no corrections) = -21.703 eV/f.u.



Entry 2:
Compound: BeIr2WF
Source: the Alexandria database
Functional: PBE with a Hubbard U
Structure: optimized geometry

Lattice parameters (Å, degrees): 4.8698 4.8698 2.8796 90.00 90.00 90.00
With the nearest neighbours (Å) after each atom.
Space group P4/mmm (No. 123)
One atom of each set of equivalent atoms:
Be1 0.0000 0.0000 0.0000 (multiplicity 1)  2 F 1.44
Ir1 0.0000 0.5000 0.5000 (multiplicity 2)  2 F 2.43
W1 0.5000 0.5000 0.0000 (multiplicity 1)  8 Ir 2.83, 2 W 2.88
F1 0.0000 0.0000 0.5000 (multiplicity 1)  2 Be 1.44

Density = 14.5 g/cm³
Total DFT energy (no corrections) = -28.981 eV/f.u.



Entry 3:
Compound: Be2IrWF
Source: the Alexandria database
Functional: PBE with a Hubbard U
Structure: optimized geometry

Lattice parameters (Å, degrees): 4.5104 4.5104 3.8014 90.00 90.00 90.00
With the nearest neighbours (Å) after each atom.
Space group P4/mmm (No. 123)
One atom of each set of equivalent atoms:
Be1 0.0000 0.5000 0.0000 (multiplicity 2)  2 W 2.26
Ir1 0.0000 0.0000 0.5000 (multiplicity 1)  8 Be 2.95, 4 F 3.19
W1 0.5000 0.5000 0.0000 (multiplicity 1)  2 F 1.90
F1 0.5000 0.5000 0.5000 (multiplicity 1)  2 W 1.90

Density = 8.9 g/cm³
Total DFT energy (no corrections) = -20.259 eV/f.u.